# CdPRh2 GGA-PBE relaxed
# **Energy of formation**: 5.307 kcal/mol of atoms
# **Total moment**: 0.0 μB per formula unit
# **Energy relative to the lowest polymorph listed for this composition**: 649 meV/atom
# **Symmetry**: F-43m
# **DOS at the Fermi energy**: 4.9 states/eV/cell
data_CdPRh2
_space_group_name_H-M_alt 'P 1'
_space_group_IT_number 1
_space_group_name_Hall 'P 1'
_cell_length_a 4.4587
_cell_length_b 4.4587
_cell_length_c 4.4587
_cell_angle_alpha 60.00
_cell_angle_beta 60.00
_cell_angle_gamma 60.00
loop_
_atom_site_label
_atom_site_type_symbol
_atom_site_fract_x
_atom_site_fract_y
_atom_site_fract_z
_atom_site_occupancy
Cd1 Cd 0.0000 0.0000 0.0000 1
P1 P 0.2500 0.2500 0.2500 1
Rh1 Rh 0.5000 0.5000 0.5000 1
Rh2 Rh 0.7500 0.7500 0.7500 1

***

# Rb2CuSnCl GGA-PBE relaxed
# **VASP energy**: -12.16 eV per cell
# **Total moment**: 0.0 μB per formula unit
# **Symmetry**: P4/mmm
# **DOS at the Fermi energy**: 3.1 states/eV/cell
data_Rb2CuSnCl
_space_group_name_H-M_alt 'P 1'
_space_group_IT_number 1
_space_group_name_Hall 'P 1'
_cell_length_a 6.1867
_cell_length_b 6.1867
_cell_length_c 5.5677
_cell_angle_alpha 90.00
_cell_angle_beta 90.00
_cell_angle_gamma 90.00
loop_
_atom_site_label
_atom_site_type_symbol
_atom_site_fract_x
_atom_site_fract_y
_atom_site_fract_z
_atom_site_occupancy
Rb1 Rb 0.0000 0.5000 0.0000 1
Rb2 Rb 0.5000 0.0000 0.0000 1
Cu1 Cu 0.0000 0.0000 0.5000 1
Sn1 Sn 0.5000 0.5000 0.5000 1
Cl1 Cl 0.5000 0.5000 0.0000 1

***

# ErLuTe GGA-PBE relaxed
# **Total moment**: 0.0 μB per formula unit
# **Energy relative to the lowest polymorph listed for this composition**: 0 meV/atom
# **Symmetry**: I4mm
# **DOS at the Fermi energy**: 1.4 states/eV/cell
data_ErLuTe
_space_group_name_H-M_alt 'P 1'
_space_group_IT_number 1
_space_group_name_Hall 'P 1'
_cell_length_a 6.3043
_cell_length_b 6.3043
_cell_length_c 6.3043
_cell_angle_alpha 144.87
_cell_angle_beta 144.87
_cell_angle_gamma 50.53
loop_
_atom_site_label
_atom_site_type_symbol
_atom_site_fract_x
_atom_site_fract_y
_atom_site_fract_z
_atom_site_occupancy
Er1 Er 0.0000 0.0000 0.0000 1
Lu1 Lu 0.3159 0.3159 0.0000 1
Te1 Te 0.6604 0.6604 0.0000 1

***

# Ca2HgP2 GGA-PBE relaxed
# **Energy of formation**: -15.562 kcal/mol of atoms
# **Total moment**: 0.0 μB per formula unit
# **Energy relative to the lowest polymorph listed for this composition**: 123 meV/atom
# **Symmetry**: I4/mmm
# **DOS at the Fermi energy**: 0.0 states/eV/cell
data_Ca2HgP2
_space_group_name_H-M_alt 'P 1'
_space_group_IT_number 1
_space_group_name_Hall 'P 1'
_cell_length_a 6.0227
_cell_length_b 6.0227
_cell_length_c 6.0227
_cell_angle_alpha 128.09
_cell_angle_beta 128.09
_cell_angle_gamma 76.48
loop_
_atom_site_label
_atom_site_type_symbol
_atom_site_fract_x
_atom_site_fract_y
_atom_site_fract_z
_atom_site_occupancy
Ca1 Ca 0.2500 0.7500 0.5000 1
Ca2 Ca 0.7500 0.2500 0.5000 1
Hg1 Hg 0.0000 0.0000 0.0000 1
P1 P 0.3807 0.3807 0.0000 1
P2 P 0.6193 0.6193 0.0000 1

***

# K2NdTmS4 GGA-PBE relaxed
# **VASP energy**: -42.83 eV per cell
# **Total moment**: 0.0 μB per formula unit
# **Symmetry**: P2/m
# **DOS at the Fermi energy**: 0.0 states/eV/cell
data_K2NdTmS4
_space_group_name_H-M_alt 'P 1'
_space_group_IT_number 1
_space_group_name_Hall 'P 1'
_cell_length_a 7.1023
_cell_length_b 4.0983
_cell_length_c 7.7506
_cell_angle_alpha 90.00
_cell_angle_beta 107.75
_cell_angle_gamma 90.00
loop_
_atom_site_label
_atom_site_type_symbol
_atom_site_fract_x
_atom_site_fract_y
_atom_site_fract_z
_atom_site_occupancy
K1 K 0.0000 0.0000 0.0000 1
K2 K 0.5000 0.5000 0.0000 1
Nd1 Nd 0.0000 0.5000 0.5000 1
Tm1 Tm 0.5000 0.0000 0.5000 1
S1 S 0.2457 0.0000 0.7054 1
S2 S 0.2764 0.5000 0.2990 1
S3 S 0.7236 0.5000 0.7010 1
S4 S 0.7543 0.0000 0.2946 1

***

# NpRuPb2O8 GGA-PBE relaxed
# **VASP energy**: -87.35 eV per cell
# **Total moment**: 0.3 μB per formula unit
# **Symmetry**: P2/m
# **DOS at the Fermi energy**: 6.8 states/eV/cell
data_NpRuPb2O8
_space_group_name_H-M_alt 'P 1'
_space_group_IT_number 1
_space_group_name_Hall 'P 1'
_cell_length_a 5.3408
_cell_length_b 6.5676
_cell_length_c 5.3533
_cell_angle_alpha 90.00
_cell_angle_beta 91.18
_cell_angle_gamma 90.00
loop_
_atom_site_label
_atom_site_type_symbol
_atom_site_fract_x
_atom_site_fract_y
_atom_site_fract_z
_atom_site_occupancy
Np1 Np 0.0000 0.0000 0.0000 1
Ru1 Ru 0.0000 0.5000 0.0000 1
Pb1 Pb 0.5000 0.2563 0.5000 1
Pb2 Pb 0.5000 0.7437 0.5000 1
O1 O 0.1905 0.2482 0.8485 1
O2 O 0.1905 0.7518 0.8485 1
O3 O 0.2031 0.5000 0.2694 1
O4 O 0.2566 0.0000 0.2918 1
O5 O 0.7434 0.0000 0.7082 1
O6 O 0.7969 0.5000 0.7306 1
O7 O 0.8095 0.2482 0.1515 1
O8 O 0.8095 0.7518 0.1515 1

***

# Hg4AsCl2 GGA-PBE relaxed
# **VASP energy**: -10.94 eV per cell
# **Total moment**: 0.0 μB per formula unit
# **Symmetry**: I4/mmm
# **DOS at the Fermi energy**: 1.2 states/eV/cell
data_Hg4AsCl2
_space_group_name_H-M_alt 'P 1'
_space_group_IT_number 1
_space_group_name_Hall 'P 1'
_cell_length_a 8.3026
_cell_length_b 8.3026
_cell_length_c 8.3026
_cell_angle_alpha 141.99
_cell_angle_beta 141.99
_cell_angle_gamma 54.84
loop_
_atom_site_label
_atom_site_type_symbol
_atom_site_fract_x
_atom_site_fract_y
_atom_site_fract_z
_atom_site_occupancy
Hg1 Hg 0.0000 0.5000 0.5000 1
Hg2 Hg 0.1874 0.1874 0.0000 1
Hg3 Hg 0.5000 0.0000 0.5000 1
Hg4 Hg 0.8126 0.8126 0.0000 1
As1 As 0.0000 0.0000 0.0000 1
Cl1 Cl 0.3690 0.3690 0.0000 1
Cl2 Cl 0.6310 0.6310 0.0000 1

***

# DyAg4 GGA-PBE relaxed
# **Energy of formation**: 23.271 kcal/mol of atoms
# **Total moment**: 0.0 μB per formula unit
# **Symmetry**: Pm-3m
# **DOS at the Fermi energy**: 2.9 states/eV/cell
data_DyAg4
_space_group_name_H-M_alt 'P 1'
_space_group_IT_number 1
_space_group_name_Hall 'P 1'
_cell_length_a 5.4398
_cell_length_b 5.4398
_cell_length_c 5.4398
_cell_angle_alpha 90.00
_cell_angle_beta 90.00
_cell_angle_gamma 90.00
loop_
_atom_site_label
_atom_site_type_symbol
_atom_site_fract_x
_atom_site_fract_y
_atom_site_fract_z
_atom_site_occupancy
Dy1 Dy 0.0000 0.0000 0.0000 1
Ag1 Ag 0.0000 0.0000 0.5000 1
Ag2 Ag 0.0000 0.5000 0.0000 1
Ag3 Ag 0.5000 0.0000 0.0000 1
Ag4 Ag 0.5000 0.5000 0.5000 1

***

# Cs2KCuBr6 GGA-PBE relaxed
# **VASP energy**: -27.85 eV per cell
# **Total moment**: 2.0 μB per formula unit
# **Symmetry**: Fm-3m
# **DOS at the Fermi energy**: 1.3 states/eV/cell
data_Cs2KCuBr6
_space_group_name_H-M_alt 'P 1'
_space_group_IT_number 1
_space_group_name_Hall 'P 1'
_cell_length_a 8.0782
_cell_length_b 8.0782
_cell_length_c 8.0782
_cell_angle_alpha 60.00
_cell_angle_beta 60.00
_cell_angle_gamma 60.00
loop_
_atom_site_label
_atom_site_type_symbol
_atom_site_fract_x
_atom_site_fract_y
_atom_site_fract_z
_atom_site_occupancy
Cs1 Cs 0.2500 0.2500 0.2500 1
Cs2 Cs 0.7500 0.7500 0.7500 1
K1 K 0.0000 0.0000 0.0000 1
Cu1 Cu 0.5000 0.5000 0.5000 1
Br1 Br 0.2772 0.2772 0.7228 1
Br2 Br 0.2772 0.7228 0.2772 1
Br3 Br 0.2772 0.7228 0.7228 1
Br4 Br 0.7228 0.2772 0.2772 1
Br5 Br 0.7228 0.2772 0.7228 1
Br6 Br 0.7228 0.7228 0.2772 1

***

# Na3TiRh GGA-PBE relaxed
# **Energy of formation**: 25.242 kcal/mol of atoms
# **Total moment**: 2.6 μB per formula unit
# **Energy relative to the lowest polymorph listed for this composition**: 0 meV/atom
# **Symmetry**: Pm-3m
# **DOS at the Fermi energy**: 11.2 states/eV/cell
data_Na3TiRh
_space_group_name_H-M_alt 'P 1'
_space_group_IT_number 1
_space_group_name_Hall 'P 1'
_cell_length_a 5.2403
_cell_length_b 5.2403
_cell_length_c 5.2403
_cell_angle_alpha 90.00
_cell_angle_beta 90.00
_cell_angle_gamma 90.00
loop_
_atom_site_label
_atom_site_type_symbol
_atom_site_fract_x
_atom_site_fract_y
_atom_site_fract_z
_atom_site_occupancy
Na1 Na 0.0000 0.0000 0.5000 1
Na2 Na 0.0000 0.5000 0.0000 1
Na3 Na 0.5000 0.0000 0.0000 1
Ti1 Ti 0.5000 0.5000 0.5000 1
Rh1 Rh 0.0000 0.0000 0.0000 1

***

# In2RePtF GGA-PBE relaxed
# **VASP energy**: -23.74 eV per cell
# **Total moment**: 0.0 μB per formula unit
# **Symmetry**: P4/mmm
# **DOS at the Fermi energy**: 3.9 states/eV/cell
data_In2RePtF
_space_group_name_H-M_alt 'P 1'
_space_group_IT_number 1
_space_group_name_Hall 'P 1'
_cell_length_a 4.7190
_cell_length_b 4.7190
_cell_length_c 4.0422
_cell_angle_alpha 90.00
_cell_angle_beta 90.00
_cell_angle_gamma 90.00
loop_
_atom_site_label
_atom_site_type_symbol
_atom_site_fract_x
_atom_site_fract_y
_atom_site_fract_z
_atom_site_occupancy
In1 In 0.0000 0.5000 0.0000 1
In2 In 0.5000 0.0000 0.0000 1
Re1 Re 0.0000 0.0000 0.5000 1
Pt1 Pt 0.5000 0.5000 0.5000 1
F1 F 0.0000 0.0000 0.0000 1

***

# Pr4SiPBr2 GGA-PBE relaxed
# **VASP energy**: -43.71 eV per cell
# **Total moment**: 0.0 μB per formula unit
# **Symmetry**: P2/m
# **DOS at the Fermi energy**: 3.1 states/eV/cell
data_Pr4SiPBr2
_space_group_name_H-M_alt 'P 1'
_space_group_IT_number 1
_space_group_name_Hall 'P 1'
_cell_length_a 7.3376
_cell_length_b 4.2448
_cell_length_c 7.8348
_cell_angle_alpha 90.00
_cell_angle_beta 108.24
_cell_angle_gamma 90.00
loop_
_atom_site_label
_atom_site_type_symbol
_atom_site_fract_x
_atom_site_fract_y
_atom_site_fract_z
_atom_site_occupancy
Pr1 Pr 0.2316 0.0000 0.2039 1
Pr2 Pr 0.2612 0.5000 0.7926 1
Pr3 Pr 0.7388 0.5000 0.2074 1
Pr4 Pr 0.7684 0.0000 0.7961 1
Si1 Si 0.5000 0.0000 0.0000 1
P1 P 0.0000 0.5000 0.0000 1
Br1 Br 0.0000 0.0000 0.5000 1
Br2 Br 0.5000 0.5000 0.5000 1